1.
P2Os | GGA-PBE | relaxed

Unit cell a=6.9299 b=6.9299 c=2.9605 alpha=90.00 beta=90.00 gamma=120.00
Fractional coordinates of all 9 atoms:
1 P 0.2889 0.0000 0.0000
2 P 0.0000 0.2889 0.0000
3 P 0.7111 0.7111 0.0000
4 P 0.5971 0.0000 0.5000
5 P 0.0000 0.5971 0.5000
6 P 0.4029 0.4029 0.5000
7 Os 0.3333 0.6667 0.0000
8 Os 0.6667 0.3333 0.0000
9 Os 0.0000 0.0000 0.5000

Summary:
Energy of formation from the pure elements: 121 meV/atom
Fermi-level density of states: 4.43 states/eV/cell
Uncorrected energy: -7.2291 eV/atom
V: 123.13 Å³ per cell


2.
InGaCl | GGA-PBE | relaxed

Unit cell a=5.2942 b=5.3584 c=5.7970 alpha=89.50 beta=89.65 gamma=62.15
Fractional coordinates of all 6 atoms:
1 Cl 0.6092 0.1502 0.1273
2 Cl 0.2746 0.8111 0.0108
3 Ga 0.9449 0.4874 0.5844
4 Ga 0.2718 0.8109 0.5957
5 In 0.6065 0.1462 0.5879
6 In 0.9398 0.4806 0.0853

Summary:
Offset from the most stable computed form: 12 meV/atom
Fermi-level density of states: 1.73 states/eV/cell
Formation energy (no corrections): -1.2 eV per formula unit
Uncorrected energy: -2.9393 eV/atom
V: 145.39 Å³ per cell